1.
# ZnInRe4, relaxed, DFT PBE-GGA
data_ZnInRe4
_cell_length_a 7.4287
_cell_length_b 7.4287
_cell_length_c 7.4287
_cell_angle_alpha 90.00
_cell_angle_beta 90.00
_cell_angle_gamma 90.00
_space_group_name_H-M_alt 'F -4 3 m'
_space_group_IT_number 216
_space_group_name_Hall 'F -4 2 3'
loop_
_atom_site_label
_atom_site_type_symbol
_atom_site_fract_x
_atom_site_fract_y
_atom_site_fract_z
Zn1 Zn 0.0000 0.0000 0.0000
In1 In 0.2500 0.2500 0.7500
Re1 Re 0.1253 0.1253 0.3747
# DOS at the Fermi energy (states/eV/f.u.): 3.49
# E (eV per atom): -8.404
# Formation energy from the elements (meV per atom): 563.9
# ρ (g cm⁻³): 14.99

2.
# BeReIr, relaxed, DFT PBE-GGA
data_BeReIr
_cell_length_a 4.1261
_cell_length_b 4.6092
_cell_length_c 4.8545
_cell_angle_alpha 66.86
_cell_angle_beta 66.23
_cell_angle_gamma 72.02
_space_group_name_H-M_alt 'P -1'
_space_group_IT_number 2
loop_
_space_group_symop_operation_xyz
'x,y,z'
'-x,-y,-z'
loop_
_atom_site_label
_atom_site_type_symbol
_atom_site_fract_x
_atom_site_fract_y
_atom_site_fract_z
Be1 Be 0.1993 0.2968 0.4129
Re1 Re 0.1238 0.7538 0.8983
Ir1 Ir 0.4190 0.7882 0.2856
# DOS at the Fermi energy (states/eV/f.u.): 1.53
# E above lowest polymorph (eV per atom): 0.104
# E (eV per atom): -8.558
# Formation energy from the elements (meV per atom): -212.9
# ρ (g cm⁻³): 16.83

3.
# CeMgB12, relaxed, DFT PBE-GGA
data_CeMgB12
_cell_length_a 4.1107
_cell_length_b 4.1107
_cell_length_c 8.2541
_cell_angle_alpha 90.00
_cell_angle_beta 90.00
_cell_angle_gamma 90.00
_space_group_name_H-M_alt 'P 4/m m m'
_space_group_IT_number 123
_space_group_name_Hall '-P 4 2'
loop_
_atom_site_label
_atom_site_type_symbol
_atom_site_fract_x
_atom_site_fract_y
_atom_site_fract_z
Ce1 Ce 0.0000 0.0000 0.0000
Mg1 Mg 0.0000 0.0000 0.5000
B1 B 0.1996 0.5000 0.2511
B2 B 0.5000 0.5000 0.1000
B3 B 0.5000 0.5000 0.4005
# DOS at the Fermi energy (states/eV/f.u.): 5.20
# E (eV per atom): -6.502
# Formation energy from the elements (meV per atom): -241.2
# ρ (g cm⁻³): 3.50

4.
# Tm7Bi5, relaxed, DFT PBE-GGA
data_Tm7Bi5
_cell_length_a 14.5688
_cell_length_b 4.3861
_cell_length_c 12.5350
_cell_angle_alpha 90.00
_cell_angle_beta 113.93
_cell_angle_gamma 90.00
_space_group_name_H-M_alt 'C 1 2/m 1'
_space_group_IT_number 12
loop_
_space_group_symop_operation_xyz
'x,y,z'
'-x,-y,-z'
'-x,y,-z'
'x,-y,z'
'x+1/2,y+1/2,z'
'-x+1/2,-y+1/2,-z'
'-x+1/2,y+1/2,-z'
'x+1/2,-y+1/2,z'
loop_
_atom_site_label
_atom_site_type_symbol
_atom_site_fract_x
_atom_site_fract_y
_atom_site_fract_z
Tm1 Tm 0.0000 0.0000 0.0000
Tm2 Tm 0.0522 0.5000 0.2869
Tm3 Tm 0.1651 0.0000 0.5261
Tm4 Tm 0.1940 0.0000 0.8218
Bi1 Bi 0.0000 0.5000 0.5000
Bi2 Bi 0.1230 0.5000 0.9450
Bi3 Bi 0.1983 0.0000 0.2771
# DOS at the Fermi energy (states/eV/f.u.): 7.86
# E (eV per atom): -4.731
# Formation energy from the elements (meV per atom): -505.1
# ρ (g cm⁻³): 10.10

5.
# Pm2Sn2Pd15, relaxed, DFT PBE-GGA
data_Pm2Sn2Pd15
_cell_length_a 9.2526
_cell_length_b 9.2526
_cell_length_c 13.8699
_cell_angle_alpha 90.00
_cell_angle_beta 90.00
_cell_angle_gamma 120.00
_space_group_name_H-M_alt 'R -3 m'
_space_group_IT_number 166
_space_group_name_Hall '-R 3 2"'
loop_
_atom_site_label
_atom_site_type_symbol
_atom_site_fract_x
_atom_site_fract_y
_atom_site_fract_z
Pm1 Pm 0.0000 0.0000 0.1465
Sn1 Sn 0.0000 0.0000 0.3935
Pd1 Pd 0.0000 0.3087 0.5000
Pd2 Pd 0.0000 0.5000 0.0000
Pd3 Pd 0.0050 0.5025 0.6543
# DOS at the Fermi energy (states/eV/f.u.): 21.07
# E (eV per atom): -5.428
# Formation energy from the elements (meV per atom): -407.4
# ρ (g cm⁻³): 10.29

6.
# In4IrF2, relaxed, DFT PBE-GGA
data_In4IrF2
_cell_length_a 5.2366
_cell_length_b 5.2366
_cell_length_c 12.5504
_cell_angle_alpha 90.00
_cell_angle_beta 90.00
_cell_angle_gamma 90.00
_space_group_name_H-M_alt 'I 4/m m m'
_space_group_IT_number 139
_space_group_name_Hall '-I 4 2'
loop_
_atom_site_label
_atom_site_type_symbol
_atom_site_fract_x
_atom_site_fract_y
_atom_site_fract_z
In1 In 0.0000 0.0000 0.2072
In2 In 0.0000 0.5000 0.0000
Ir1 Ir 0.0000 0.0000 0.0000
F1 F 0.0000 0.0000 0.3780
# Raw formation energy (kJ/mol of atoms): -81.0
# DOS at the Fermi energy (states/eV/f.u.): 3.16
# E (eV per atom): -4.205
# ρ (g cm⁻³): 6.65

7.
# ErZn5Ru2, relaxed, DFT PBE-GGA
data_ErZn5Ru2
_cell_length_a 3.4008
_cell_length_b 8.0707
_cell_length_c 9.8096
_cell_angle_alpha 90.00
_cell_angle_beta 90.00
_cell_angle_gamma 90.00
_space_group_name_H-M_alt 'I m m m'
_space_group_IT_number 71
_space_group_name_Hall '-I 2 2'
loop_
_atom_site_label
_atom_site_type_symbol
_atom_site_fract_x
_atom_site_fract_y
_atom_site_fract_z
Er1 Er 0.0000 0.0000 0.0000
Zn1 Zn 0.0000 0.2035 0.3543
Zn2 Zn 0.0000 0.5000 0.0000
Ru1 Ru 0.0000 0.5000 0.2603
# DOS at the Fermi energy (states/eV/f.u.): 4.85
# E (eV per atom): -3.782
# Formation energy from the elements (meV per atom): -96.2
# ρ (g cm⁻³): 8.59

8.
# Hg2B2H, relaxed, DFT PBE-GGA
data_Hg2B2H
_cell_length_a 2.8167
_cell_length_b 2.8167
_cell_length_c 17.0575
_cell_angle_alpha 90.00
_cell_angle_beta 90.00
_cell_angle_gamma 90.00
_space_group_name_H-M_alt 'I 4/m m m'
_space_group_IT_number 139
_space_group_name_Hall '-I 4 2'
loop_
_atom_site_label
_atom_site_type_symbol
_atom_site_fract_x
_atom_site_fract_y
_atom_site_fract_z
Hg1 Hg 0.0000 0.0000 0.1014
B1 B 0.0000 0.5000 0.2500
H1 H 0.0000 0.0000 0.5000
# DOS at the Fermi energy (states/eV/f.u.): 2.74
# E above lowest polymorph (eV per atom): 0.063
# E (eV per atom): -2.316
# ρ (g cm⁻³): 10.40

9.
# La4TcBr2Cl, relaxed, DFT PBE-GGA
data_La4TcBr2Cl
_cell_length_a 7.4834
_cell_length_b 4.1481
_cell_length_c 7.9705
_cell_angle_alpha 90.00
_cell_angle_beta 105.59
_cell_angle_gamma 90.00
_space_group_name_H-M_alt 'P 1 2/m 1'
_space_group_IT_number 10
loop_
_space_group_symop_operation_xyz
'x,y,z'
'-x,-y,-z'
'-x,y,-z'
'x,-y,z'
loop_
_atom_site_label
_atom_site_type_symbol
_atom_site_fract_x
_atom_site_fract_y
_atom_site_fract_z
La1 La 0.2188 0.0000 0.2080
La2 La 0.2401 0.5000 0.7921
Tc1 Tc 0.0000 0.5000 0.0000
Br1 Br 0.0000 0.0000 0.5000
Br2 Br 0.5000 0.5000 0.5000
Cl1 Cl 0.5000 0.0000 0.0000
# Raw formation energy (kJ/mol of atoms): -101.6
# DOS at the Fermi energy (states/eV/f.u.): 6.67
# E (eV per atom): -5.462
# ρ (g cm⁻³): 5.91

10.
# Al3HgPt, relaxed, DFT PBE-GGA
data_Al3HgPt
_cell_length_a 4.8186
_cell_length_b 4.8186
_cell_length_c 4.8186
_cell_angle_alpha 90.00
_cell_angle_beta 90.00
_cell_angle_gamma 90.00
_space_group_name_H-M_alt 'P m -3 m'
_space_group_IT_number 221
_space_group_name_Hall '-P 4 2 3'
loop_
_atom_site_label
_atom_site_type_symbol
_atom_site_fract_x
_atom_site_fract_y
_atom_site_fract_z
Al1 Al 0.0000 0.0000 0.5000
Hg1 Hg 0.5000 0.5000 0.5000
Pt1 Pt 0.0000 0.0000 0.0000
# DOS at the Fermi energy (states/eV/f.u.): 1.74
# E above lowest polymorph (eV per atom): 0.000
# E (eV per atom): -3.764
# Formation energy from the elements (meV per atom): -249.6
# ρ (g cm⁻³): 7.07

11.
# Ca2InAs, relaxed, DFT PBE-GGA
data_Ca2InAs
_cell_length_a 3.7860
_cell_length_b 3.7860
_cell_length_c 8.2495
_cell_angle_alpha 90.00
_cell_angle_beta 90.00
_cell_angle_gamma 90.00
_space_group_name_H-M_alt 'P 4 m m'
_space_group_IT_number 99
loop_
_space_group_symop_operation_xyz
'x,y,z'
'-y,x,z'
'-x,-y,z'
'y,-x,z'
'-x,y,z'
'y,x,z'
'x,-y,z'
'-y,-x,z'
loop_
_atom_site_label
_atom_site_type_symbol
_atom_site_fract_x
_atom_site_fract_y
_atom_site_fract_z
Ca1 Ca 0.0000 0.0000 0.0000
Ca2 Ca 0.5000 0.5000 0.3725
In1 In 0.0000 0.0000 0.6194
As1 As 0.5000 0.5000 0.7779
# DOS at the Fermi energy (states/eV/f.u.): 1.54
# E above lowest polymorph (eV per atom): 0.341
# E (eV per atom): -3.227
# Formation energy from the elements (meV per atom): -379.5
# ρ (g cm⁻³): 3.79

12.
# MnGa3Rh4, relaxed, DFT PBE-GGA
data_MnGa3Rh4
_cell_length_a 3.0460
_cell_length_b 4.2928
_cell_length_c 8.5652
_cell_angle_alpha 90.00
_cell_angle_beta 90.00
_cell_angle_gamma 90.00
_space_group_name_H-M_alt 'P m m m'
_space_group_IT_number 47
loop_
_space_group_symop_operation_xyz
'x,y,z'
'-x,-y,-z'
'-x,-y,z'
'x,y,-z'
'x,-y,-z'
'-x,y,z'
'-x,y,-z'
'x,-y,z'
loop_
_atom_site_label
_atom_site_type_symbol
_atom_site_fract_x
_atom_site_fract_y
_atom_site_fract_z
Mn1 Mn 0.0000 0.0000 0.0000
Ga1 Ga 0.0000 0.0000 0.5000
Ga2 Ga 0.0000 0.5000 0.2437
Rh1 Rh 0.5000 0.0000 0.2563
Rh2 Rh 0.5000 0.5000 0.0000
Rh3 Rh 0.5000 0.5000 0.5000
# DOS at the Fermi energy (states/eV/f.u.): 2.17
# E (eV per atom): -6.572
# Formation energy from the elements (meV per atom): -615.1
# ρ (g cm⁻³): 10.02

13.
# Ca2TeAu, relaxed, DFT PBE-GGA
data_Ca2TeAu
_cell_length_a 4.3365
_cell_length_b 24.0378
_cell_length_c 4.5369
_cell_angle_alpha 90.00
_cell_angle_beta 90.00
_cell_angle_gamma 90.00
_space_group_name_H-M_alt 'C m c m'
_space_group_IT_number 63
_space_group_name_Hall '-C 2c 2'
loop_
_atom_site_label
_atom_site_type_symbol
_atom_site_fract_x
_atom_site_fract_y
_atom_site_fract_z
Ca1 Ca 0.0000 0.0608 0.2500
Ca2 Ca 0.0000 0.3245 0.2500
Te1 Te 0.0000 0.1894 0.2500
Au1 Au 0.0000 0.4619 0.2500
# Raw formation energy (kJ/mol of atoms): -111.3
# DOS at the Fermi energy (states/eV/f.u.): 1.42
# E above lowest polymorph (eV per atom): 0.000
# E (eV per atom): -3.759
# ρ (g cm⁻³): 5.68

14.
# PmNp2S3, relaxed, DFT PBE-GGA
data_PmNp2S3
_cell_length_a 7.9203
_cell_length_b 5.5825
_cell_length_c 11.8466
_cell_angle_alpha 90.00
_cell_angle_beta 90.00
_cell_angle_gamma 90.00
_space_group_name_H-M_alt 'P n m a'
_space_group_IT_number 62
loop_
_space_group_symop_operation_xyz
'x,y,z'
'-x,-y,-z'
'-x+1/2,-y,z+1/2'
'x+1/2,y,-z+1/2'
'x+1/2,-y+1/2,-z+1/2'
'-x+1/2,y+1/2,z+1/2'
'-x,y+1/2,-z'
'x,-y+1/2,z'
loop_
_atom_site_label
_atom_site_type_symbol
_atom_site_fract_x
_atom_site_fract_y
_atom_site_fract_z
Pm1 Pm 0.1260 0.2500 0.0802
Np1 Np 0.1235 0.2500 0.4162
Np2 Np 0.1252 0.2500 0.7530
S1 S 0.1172 0.7500 0.4123
S2 S 0.1247 0.7500 0.7511
S3 S 0.1322 0.7500 0.0863
# Raw formation energy (kJ/mol of atoms): -153.0
# DOS at the Fermi energy (states/eV/f.u.): 14.73
# E (eV per atom): -8.754
# ρ (g cm⁻³): 9.07

15.
# La6Tb2CeY, relaxed, DFT PBE-GGA
data_La6Tb2CeY
_cell_length_a 12.3427
_cell_length_b 6.8678
_cell_length_c 8.9881
_cell_angle_alpha 90.00
_cell_angle_beta 110.34
_cell_angle_gamma 90.00
_space_group_name_H-M_alt 'C 1 2/m 1'
_space_group_IT_number 12
loop_
_space_group_symop_operation_xyz
'x,y,z'
'-x,-y,-z'
'-x,y,-z'
'x,-y,z'
'x+1/2,y+1/2,z'
'-x+1/2,-y+1/2,-z'
'-x+1/2,y+1/2,-z'
'x+1/2,-y+1/2,z'
loop_
_atom_site_label
_atom_site_type_symbol
_atom_site_fract_x
_atom_site_fract_y
_atom_site_fract_z
La1 La 0.1466 0.2382 0.3101
La2 La 0.1648 0.0000 0.9176
Tb1 Tb 0.1021 0.5000 0.6805
Ce1 Ce 0.0000 0.0000 0.5000
Y1 Y 0.0000 0.5000 0.0000
# DOS at the Fermi energy (states/eV/f.u.): 23.09
# E (eV per atom): -4.896
# Formation energy from the elements (meV per atom): 226.5
# ρ (g cm⁻³): 6.42

16.
# KSiIr2, relaxed, DFT PBE-GGA
data_KSiIr2
_cell_length_a 2.8902
_cell_length_b 2.8902
_cell_length_c 8.4381
_cell_angle_alpha 90.00
_cell_angle_beta 90.00
_cell_angle_gamma 90.00
_space_group_name_H-M_alt 'P 4/m m m'
_space_group_IT_number 123
_space_group_name_Hall '-P 4 2'
loop_
_atom_site_label
_atom_site_type_symbol
_atom_site_fract_x
_atom_site_fract_y
_atom_site_fract_z
K1 K 0.0000 0.0000 0.0000
Si1 Si 0.0000 0.0000 0.5000
Ir1 Ir 0.5000 0.5000 0.3268
# Raw formation energy (kJ/mol of atoms): 2.4
# DOS at the Fermi energy (states/eV/f.u.): 3.87
# E (eV per atom): -6.036
# ρ (g cm⁻³): 10.64

17.
# SrCaTe2O, relaxed, DFT PBE-GGA
data_SrCaTe2O
_cell_length_a 5.5758
_cell_length_b 5.5758
_cell_length_c 7.2987
_cell_angle_alpha 90.00
_cell_angle_beta 90.00
_cell_angle_gamma 90.00
_space_group_name_H-M_alt 'P 4/m m m'
_space_group_IT_number 123
_space_group_name_Hall '-P 4 2'
loop_
_atom_site_label
_atom_site_type_symbol
_atom_site_fract_x
_atom_site_fract_y
_atom_site_fract_z
Sr1 Sr 0.0000 0.0000 0.0000
Ca1 Ca 0.0000 0.0000 0.5000
Te1 Te 0.0000 0.5000 0.5000
O1 O 0.5000 0.5000 0.0000
# Raw formation energy (kJ/mol of atoms): 4.6
# DOS at the Fermi energy (states/eV/f.u.): 2.85
# E (eV per atom): -2.937
# ρ (g cm⁻³): 2.92

18.
# CuTc2Cl, relaxed, DFT PBE-GGA
data_CuTc2Cl
_cell_length_a 4.1184
_cell_length_b 4.1184
_cell_length_c 6.8756
_cell_angle_alpha 90.00
_cell_angle_beta 90.00
_cell_angle_gamma 90.00
_space_group_name_H-M_alt 'I -4 m 2'
_space_group_IT_number 119
_space_group_name_Hall 'I -4 -2'
loop_
_atom_site_label
_atom_site_type_symbol
_atom_site_fract_x
_atom_site_fract_y
_atom_site_fract_z
Cu1 Cu 0.0000 0.0000 0.0000
Tc1 Tc 0.0000 0.0000 0.5000
Tc2 Tc 0.0000 0.5000 0.7500
Cl1 Cl 0.0000 0.5000 0.2500
# Raw formation energy (kJ/mol of atoms): 79.9
# DOS at the Fermi energy (states/eV/f.u.): 2.47
# E above lowest polymorph (eV per atom): 0.653
# E (eV per atom): -5.840
# ρ (g cm⁻³): 8.40

19.
# CeSbPt, relaxed, DFT PBE-GGA
data_CeSbPt
_cell_length_a 13.2128
_cell_length_b 4.1667
_cell_length_c 8.4576
_cell_angle_alpha 90.00
_cell_angle_beta 90.00
_cell_angle_gamma 90.00
_space_group_name_H-M_alt 'P m m a'
_space_group_IT_number 51
loop_
_space_group_symop_operation_xyz
'x,y,z'
'-x,-y,-z'
'-x+1/2,-y,z'
'x+1/2,y,-z'
'x+1/2,-y,-z'
'-x+1/2,y,z'
'-x,y,-z'
'x,-y,z'
loop_
_atom_site_label
_atom_site_type_symbol
_atom_site_fract_x
_atom_site_fract_y
_atom_site_fract_z
Ce1 Ce 0.0910 0.0000 0.1607
Ce2 Ce 0.2500 0.0000 0.7070
Sb1 Sb 0.0980 0.5000 0.8508
Sb2 Sb 0.2500 0.5000 0.4054
Pt1 Pt 0.0978 0.0000 0.4687
Pt2 Pt 0.2500 0.5000 0.0817
# Raw formation energy (kJ/mol of atoms): -74.1
# DOS at the Fermi energy (states/eV/f.u.): 5.08
# E (eV per atom): -6.134
# ρ (g cm⁻³): 9.78

20.
# AcLa4Te5, relaxed, DFT PBE-GGA
data_AcLa4Te5
_cell_length_a 4.6096
_cell_length_b 6.5245
_cell_length_c 23.0962
_cell_angle_alpha 90.00
_cell_angle_beta 90.00
_cell_angle_gamma 90.00
_space_group_name_H-M_alt 'I m m m'
_space_group_IT_number 71
_space_group_name_Hall '-I 2 2'
loop_
_atom_site_label
_atom_site_type_symbol
_atom_site_fract_x
_atom_site_fract_y
_atom_site_fract_z
Ac1 Ac 0.0000 0.0000 0.0000
La1 La 0.0000 0.0000 0.2023
La2 La 0.0000 0.0000 0.3996
Te1 Te 0.0000 0.5000 0.0000
Te2 Te 0.0000 0.5000 0.1992
Te3 Te 0.0000 0.5000 0.3964
# Raw formation energy (kJ/mol of atoms): -151.5
# DOS at the Fermi energy (states/eV/f.u.): 7.65
# E (eV per atom): -5.522
# ρ (g cm⁻³): 6.79